Entry 1:
Density functional theory data (meta-GGA SCAN) for a crystal of RbCoBOs2 relaxed with PBEsol.

DOS at the Fermi energy: 0.696 states/eV/atom
Space-group type: No. 123
Formation energy from the elements: 4578.7 meV per atom
Uncorrected energy: -33.27 eV/atom

a b c (Å): 4.757 4.757 4.317
angles (deg): 90.00 90.00 90.00
Atoms (fractional coordinates):
Rb 0.000 0.000 0.000
Co 0.000 0.000 0.500
B 0.500 0.500 0.500
Os 0.000 0.500 0.000
Os 0.500 0.000 0.000

***

Entry 2:
Density functional theory data (meta-GGA SCAN) for a crystal of ZrI2 relaxed with PBEsol.

E_form (uncorrected): -2.873 eV per formula unit
Space-group type: No. 31
Uncorrected energy: -35.69 eV/atom

a b c (Å): 3.694 6.780 15.081
angles (deg): 90.00 90.00 90.00
Atoms (fractional coordinates):
Zr 0.000 0.006 0.000
Zr 0.000 0.614 0.493
Zr 0.500 0.386 0.993
Zr 0.500 0.994 0.500
I 0.000 0.227 0.389
I 0.000 0.275 0.852
I 0.000 0.619 0.104
I 0.000 0.882 0.641
I 0.500 0.118 0.141
I 0.500 0.381 0.604
I 0.500 0.725 0.352
I 0.500 0.773 0.889

***

Entry 3:
Density functional theory data (meta-GGA SCAN) for a crystal of Hf3BiRh relaxed with PBEsol.

DOS at the Fermi energy: 0.323 states/eV/atom
Space-group type: No. 221
Formation energy from the elements: -87.0 meV per atom
Uncorrected energy: -60.16 eV/atom

a b c (Å): 4.941 4.941 4.941
angles (deg): 90.00 90.00 90.00
Atoms (fractional coordinates):
Hf 0.000 0.000 0.500
Hf 0.000 0.500 0.000
Hf 0.500 0.000 0.000
Bi 0.500 0.500 0.500
Rh 0.000 0.000 0.000

***

Entry 4:
Density functional theory data (meta-GGA SCAN) for a crystal of BeCu2P relaxed with PBEsol.

DOS at the Fermi energy: 0.406 states/eV/atom
Space-group type: No. 99
Formation energy from the elements: 226.6 meV per atom
Uncorrected energy: -11.06 eV/atom

a b c (Å): 2.496 2.496 7.199
angles (deg): 90.00 90.00 90.00
Atoms (fractional coordinates):
Be 0.000 0.000 0.000
Cu 0.000 0.000 0.466
Cu 0.500 0.500 0.207
P 0.500 0.500 0.744

***

Entry 5:
Density functional theory data (meta-GGA SCAN) for a crystal of TaCrSe4 relaxed with PBEsol.

E_form (uncorrected): 6.766 eV per formula unit
DOS at the Fermi energy: 0.857 states/eV/atom
Space-group type: No. 216
Uncorrected energy: -26.42 eV/atom

a b c (Å): 5.444 5.444 5.444
angles (deg): 60.00 60.00 60.00
Atoms (fractional coordinates):
Ta 0.000 0.000 0.000
Cr 0.250 0.250 0.250
Se 0.124 0.625 0.625
Se 0.625 0.124 0.625
Se 0.625 0.625 0.124
Se 0.625 0.625 0.625

***

Entry 6:
Density functional theory data (meta-GGA SCAN) for a crystal of LaTe3C relaxed with PBEsol.

E_form (uncorrected): 6.357 eV per formula unit
DOS at the Fermi energy: 1.497 states/eV/atom
Space-group type: No. 221
Uncorrected energy: -31.72 eV/atom

a b c (Å): 6.077 6.077 6.077
angles (deg): 90.00 90.00 90.00
Atoms (fractional coordinates):
La 0.000 0.000 0.000
Te 0.000 0.000 0.500
Te 0.000 0.500 0.000
Te 0.500 0.000 0.000
C 0.500 0.500 0.500

***

Entry 7:
Density functional theory data (meta-GGA SCAN) for a crystal of K4CrO4 relaxed with PBEsol.

E_form (uncorrected): -17.219 eV per formula unit
Space-group type: No. 2
Uncorrected energy: -10.43 eV/atom

a b c (Å): 6.296 6.390 9.245
angles (deg): 72.37 80.17 67.23
Atoms (fractional coordinates):
K 0.222 0.461 0.122
K 0.241 0.923 0.346
K 0.253 0.275 0.535
K 0.276 0.009 0.939
K 0.724 0.991 0.061
K 0.747 0.725 0.465
K 0.759 0.077 0.654
K 0.778 0.539 0.878
Cr 0.266 0.657 0.748
Cr 0.734 0.343 0.252
O 0.045 0.791 0.877
O 0.107 0.672 0.601
O 0.439 0.365 0.838
O 0.441 0.835 0.689
O 0.559 0.165 0.311
O 0.561 0.635 0.162
O 0.893 0.328 0.399
O 0.955 0.209 0.123

***

Entry 8:
Density functional theory data (meta-GGA SCAN) for a crystal of MgPt2Au relaxed with PBEsol.

DOS at the Fermi energy: 0.396 states/eV/atom
Space-group type: No. 10
Formation energy from the elements: -505.9 meV per atom
Uncorrected energy: -54.14 eV/atom

a b c (Å): 4.755 2.895 4.776
angles (deg): 90.00 108.06 90.00
Atoms (fractional coordinates):
Mg 0.000 0.000 0.000
Pt 0.500 0.000 0.500
Pt 0.500 0.500 0.000
Au 0.000 0.500 0.500